Compound: TbEuSi
Source: the Alexandria database
Functional: PBE
Structure: relaxed

Values from the calculation:
* volume: 88.4 Å³/cell
* symmetry: No. 216
* raw formation energy: -0.37 eV per atom
* E_tot: -21.44 eV for the cell shown

Structure (POSCAR):
```
TbEuSi
1.0
5.0012 0.0000 0.0000
2.5006 4.3311 0.0000
2.5006 1.4437 4.0834
Si Tb Eu
1 1 1
Cartesian
2.5006 1.4437 1.0209 Si
5.0012 2.8874 2.0417 Tb
0.0000 0.0000 0.0000 Eu
```